Entry 1:
{
  "formula": "Ir3RuRh",
  "functional": "PBE",
  "state": "optimized geometry",
  "e_above_lowest_polymorph_mev_per_atom": 1703,
  "formation_enthalpy_0k_ev_per_atom": 2.021,
  "lattice_angstrom": [[4.631, 0.000, 0.000], [0.000, 4.631, 0.000], [0.000, 0.000, 4.631]],
  "species": ["Ir", "Ir", "Ir", "Ru", "Rh"],
  "frac_coords": [[0.000, 0.000, 0.500], [0.000, 0.500, 0.000], [0.500, 0.000, 0.000], [0.000, 0.000, 0.000], [0.500, 0.500, 0.500]]
}

---

Entry 2:
{
  "formula": "NpUTiO6",
  "functional": "PBE",
  "state": "optimized geometry",
  "formation_energy_uncorrected_ev_per_atom": -3.031,
  "lattice_angstrom": [[5.474, 0.000, 0.000], [-2.737, 4.740, 0.000], [0.000, 0.000, 9.649]],
  "species": ["Np", "Np", "U", "U", "Ti", "Ti", "O", "O", "O", "O", "O", "O", "O", "O", "O", "O", "O", "O"],
  "frac_coords": [[0.000, 0.000, 0.000], [0.000, 0.000, 0.500], [0.333, 0.667, 0.250], [0.667, 0.333, 0.750], [0.333, 0.667, 0.750], [0.667, 0.333, 0.250], [0.021, 0.359, 0.636], [0.021, 0.662, 0.864], [0.338, 0.359, 0.864], [0.338, 0.979, 0.636], [0.359, 0.021, 0.136], [0.359, 0.338, 0.364], [0.641, 0.662, 0.636], [0.641, 0.979, 0.864], [0.662, 0.021, 0.364], [0.662, 0.641, 0.136], [0.979, 0.338, 0.136], [0.979, 0.641, 0.364]]
}

---

Entry 3:
{
  "formula": "BaCd3W",
  "functional": "PBE",
  "state": "optimized geometry",
  "e_above_lowest_polymorph_mev_per_atom": 0,
  "formation_enthalpy_0k_ev_per_atom": 0.557,
  "lattice_angstrom": [[5.375, 0.000, 0.000], [0.000, 5.375, 0.000], [0.000, 0.000, 5.375]],
  "species": ["Ba", "Cd", "Cd", "Cd", "W"],
  "frac_coords": [[0.000, 0.000, 0.000], [0.000, 0.500, 0.500], [0.500, 0.000, 0.500], [0.500, 0.500, 0.000], [0.500, 0.500, 0.500]]
}

---

Entry 4:
{
  "formula": "Ca2Cd2In",
  "functional": "PBE",
  "state": "optimized geometry",
  "e_above_lowest_polymorph_mev_per_atom": 0,
  "formation_enthalpy_0k_ev_per_atom": -0.345,
  "lattice_angstrom": [[5.842, -2.394, 0.000], [5.842, 2.394, 0.000], [-4.729, 0.000, 10.300]],
  "species": ["Ca", "Ca", "Ca", "Ca", "Cd", "Cd", "Cd", "Cd", "In", "In"],
  "frac_coords": [[0.016, 0.016, 0.338], [0.186, 0.186, 0.104], [0.814, 0.814, 0.896], [0.984, 0.984, 0.662], [0.364, 0.364, 0.434], [0.472, 0.472, 0.115], [0.528, 0.528, 0.885], [0.636, 0.636, 0.566], [0.278, 0.278, 0.662], [0.722, 0.722, 0.338]]
}

---

Number 1: final energy -6.6212 eV/atom, Fermi-level density of states 1.738 states/eV per atom. Number 2: final energy -9.9062 eV/atom, Fermi-level density of states 1.420 states/eV per atom. Number 3: final energy -2.9671 eV/atom, Fermi-level density of states 1.235 states/eV per atom. Number 4: final energy -2.0592 eV/atom, Fermi-level density of states 0.555 states/eV per atom.